No. 1
# TmURu

A geometry-optimized TmURu structure (PBE, Alexandria).

Lattice parameters (Å, degrees): 3.463 3.463 5.903 107.06 107.06 90.00
Each line ends with the local moment (μB).
Fractional positions:
Tm1 0.997 0.997 0.994  0.03
Ru1 0.305 0.305 0.610  -0.11
U1 0.698 0.698 0.396  0.86

Output
Volume in A^3/atom: 21.5
Formation energy from the elements in eV per atom: -0.1246
Relative energy among the computed polymorphs in eV/atom: 0.120
Space-group type: I4mm, No. 107
Magnetization in μB/f.u.: 0.839

***

No. 2
# CuNi2Pd5

A geometry-optimized CuNi2Pd5 structure (PBE, Alexandria).

Lattice parameters (Å, degrees): 5.282 5.282 5.282 107.08 107.08 114.37
Each line ends with the local moment (μB).
Fractional positions:
Cu1 0.778 0.778 0.000  0.01
Pd1 0.778 0.778 0.500  0.14
Pd2 0.278 0.778 0.000  0.14
Ni1 0.278 0.778 0.500  0.78
Pd3 0.278 0.278 0.500  0.14
Pd4 0.278 0.277 0.000  0.07
Ni2 0.778 0.278 0.500  0.78
Pd5 0.778 0.278 0.000  0.14

Output
Volume in A^3/atom: 14.1
Formation energy from the elements in eV per atom: 0.0524
Relative energy among the computed polymorphs in eV/atom: 0.000
Space-group type: I4/mmm, No. 139
Magnetization in μB/f.u.: 2.102

***

No. 3
# HoGa2Ir

A geometry-optimized HoGa2Ir structure (PBE, Alexandria).

Lattice parameters (Å, degrees): 5.507 6.809 7.978 90.00 90.00 90.00
Fractional positions:
Ga1 0.885 0.448 0.172
Ho1 0.381 0.250 0.048
Ga2 0.385 0.552 0.328
Ho2 0.119 0.250 0.548
Ga3 0.385 0.948 0.328
Ga4 0.115 0.552 0.828
Ho3 0.881 0.750 0.452
Ga5 0.885 0.052 0.172
Ir1 0.646 0.250 0.392
Ir2 0.854 0.250 0.892
Ga6 0.615 0.052 0.672
Ga7 0.615 0.448 0.672
Ga8 0.115 0.948 0.828
Ir3 0.354 0.750 0.608
Ir4 0.146 0.750 0.108
Ho4 0.619 0.750 0.952

Output
Volume in A^3/atom: 18.7
Formation energy from the elements in eV per atom: -0.7154
Space-group type: Pnma, No. 62
Magnetization in μB/f.u.: 0.000

***

No. 4
# TmMgSc2Rh4

A geometry-optimized TmMgSc2Rh4 structure (PBE, Alexandria).

Lattice parameters (Å, degrees): 4.576 4.576 7.950 73.28 73.28 60.00
Fractional positions:
Rh1 0.623 0.623 0.130
Sc1 0.755 0.755 0.734
Mg1 0.500 0.500 0.500
Rh2 0.377 0.377 0.870
Rh3 0.875 0.875 0.376
Sc2 0.245 0.245 0.266
Tm1 0.000 0.000 0.000
Rh4 0.125 0.125 0.624

Output
Volume in A^3/atom: 17.0
Formation energy from the elements in eV per atom: -0.9122
Space-group type: R-3m, No. 166
Magnetization in μB/f.u.: 0.000

***

No. 5
# InGeBiPb

A geometry-optimized InGeBiPb structure (PBE, Alexandria).

Lattice parameters (Å, degrees): 5.389 5.389 5.389 60.00 60.00 60.00
Fractional positions:
Ge1 0.250 0.250 0.250
In1 0.750 0.750 0.750
Pb1 0.500 0.500 0.500
Bi1 0.000 0.000 0.000

Output
Volume in A^3/atom: 27.7
Formation energy from the elements in eV per atom: 0.1619
Space-group type: F-43m, No. 216
Magnetization in μB/f.u.: 0.000

***

No. 6
# CdFe2Ge2

A geometry-optimized CdFe2Ge2 structure (PBE, Alexandria).

Lattice parameters (Å, degrees): 6.968 6.968 2.870 90.00 90.00 90.00
Each line ends with the local moment (μB).
Fractional positions:
Cd1 0.500 0.500 0.000  -0.01
Ge1 0.651 0.849 0.500  -0.02
Ge2 0.151 0.651 0.500  -0.02
Fe1 0.858 0.642 0.000  0.25
Ge3 0.849 0.349 0.500  -0.02
Cd2 0.000 0.000 0.000  -0.01
Fe2 0.142 0.358 0.000  0.25
Fe3 0.642 0.142 0.000  0.24
Ge4 0.349 0.151 0.500  -0.02
Fe4 0.358 0.858 0.000  0.24

Output
Volume in A^3/atom: 13.9
Formation energy from the elements in eV per atom: 0.1264
Space-group type: P4/mbm, No. 127
Magnetization in μB/f.u.: 0.435

***

No. 7
# PaTa3Ni4H12

A geometry-optimized PaTa3Ni4H12 structure (PBE, Alexandria).

Lattice parameters (Å, degrees): 5.992 5.992 5.992 109.26 109.26 109.26
Fractional positions:
Ta1 0.526 0.474 0.000
H1 0.500 0.110 0.890
H2 0.120 0.271 0.426
Ni1 0.941 0.059 0.500
H3 0.332 0.668 0.500
H4 0.880 0.574 0.729
H5 0.574 0.729 0.880
H6 0.729 0.880 0.574
H7 0.668 0.500 0.332
H8 0.110 0.890 0.500
H9 0.890 0.500 0.110
H10 0.271 0.426 0.120
H11 0.426 0.120 0.271
H12 0.500 0.332 0.668
Ta2 0.000 0.526 0.474
Ni2 0.059 0.500 0.941
Ta3 0.474 0.000 0.526
Ni3 0.500 0.500 0.500
Pa1 0.000 0.000 0.000
Ni4 0.500 0.941 0.059

Output
Volume in A^3/atom: 8.3
DFT total energy in eV/atom: -5.445
Space-group type: R32, No. 155
Magnetization in μB/f.u.: 0.001

***

No. 8
# Mn2IrCl

A geometry-optimized Mn2IrCl structure (PBE, Alexandria).

Lattice parameters (Å, degrees): 4.505 4.505 4.505 60.00 60.00 60.00
Each line ends with the local moment (μB).
Fractional positions:
Mn1 0.250 0.250 0.250  4.10
Mn2 0.000 0.000 0.000  3.82
Ir1 0.750 0.750 0.750  0.75
Cl1 0.500 0.500 0.500  0.14

Output
Volume in A^3/atom: 16.2
Relative energy among the computed polymorphs in eV/atom: 0.840
Formation energy without anion corrections in meV/atom: 742
Space-group type: F-43m, No. 216
Magnetization in μB/f.u.: 9.348